1.
# Rb2Na2Tl GGA-PBE relaxed
# Spin magnetization (μB per formula unit): 0.000
# VASP energy (eV for the cell shown): -13.58
# SG: P4/mbm (127)
# Formation enthalpy at 0 K (eV per atom): 0.03
# DOS at the Fermi energy (states/eV/f.u.): 3.9
# Energy above the lowest structure with this stoichiometry (meV/atom): 32
data_Rb2Na2Tl
_chemical_formula_sum 'Rb4 Na4 Tl2'
_space_group_name_H-M_alt 'P 1'
_space_group_IT_number 1
_cell_length_a 8.6838
_cell_length_b 8.6838
_cell_length_c 6.5017
_cell_angle_alpha 90.00
_cell_angle_beta 90.00
_cell_angle_gamma 90.00
loop_
_space_group_symop_operation_xyz
'x,y,z'
loop_
_atom_site_label
_atom_site_type_symbol
_atom_site_fract_x
_atom_site_fract_y
_atom_site_fract_z
Rb1 Rb 0.1838 0.3162 0.0000
Rb2 Rb 0.3162 0.8162 0.0000
Rb3 Rb 0.6838 0.1838 0.0000
Rb4 Rb 0.8162 0.6838 0.0000
Na1 Na 0.1479 0.6479 0.5000
Na2 Na 0.3521 0.1479 0.5000
Na3 Na 0.6479 0.8521 0.5000
Na4 Na 0.8521 0.3521 0.5000
Tl1 Tl 0.0000 0.0000 0.5000
Tl2 Tl 0.5000 0.5000 0.5000


2.
# Rb4NaTl5 GGA-PBE relaxed
# Spin magnetization (μB per formula unit): 0.000
# VASP energy (eV for the cell shown): -17.28
# SG: I4mm (107)
# Formation enthalpy at 0 K (eV per atom): -0.03
# DOS at the Fermi energy (states/eV/f.u.): 6.4
data_Rb4NaTl5
_chemical_formula_sum 'Rb4 Na1 Tl5'
_space_group_name_H-M_alt 'P 1'
_space_group_IT_number 1
_cell_length_a 8.7888
_cell_length_b 8.7888
_cell_length_c 8.7888
_cell_angle_alpha 97.77
_cell_angle_beta 97.77
_cell_angle_gamma 136.85
loop_
_space_group_symop_operation_xyz
'x,y,z'
loop_
_atom_site_label
_atom_site_type_symbol
_atom_site_fract_x
_atom_site_fract_y
_atom_site_fract_z
Rb1 Rb 0.0000 0.2957 0.2957
Rb2 Rb 0.0000 0.7043 0.7043
Rb3 Rb 0.2957 0.0000 0.2957
Rb4 Rb 0.7043 0.0000 0.7043
Na1 Na 0.2458 0.2458 0.0000
Tl1 Tl 0.3333 0.3333 0.6560
Tl2 Tl 0.3333 0.6773 0.0000
Tl3 Tl 0.6773 0.3333 0.0000
Tl4 Tl 0.6773 0.6773 0.3440
Tl5 Tl 0.7490 0.7490 0.0000


3.
# Rb4Na3Tl2 GGA-PBE relaxed
# Spin magnetization (μB per formula unit): 0.000
# VASP energy (eV for the cell shown): -12.89
# SG: C2/m (12)
# Formation enthalpy at 0 K (eV per atom): -0.04
# DOS at the Fermi energy (states/eV/f.u.): 5.0
data_Rb4Na3Tl2
_chemical_formula_sum 'Rb4 Na3 Tl2'
_space_group_name_H-M_alt 'P 1'
_space_group_IT_number 1
_cell_length_a 10.1593
_cell_length_b 10.1593
_cell_length_c 9.3877
_cell_angle_alpha 105.94
_cell_angle_beta 105.94
_cell_angle_gamma 30.69
loop_
_space_group_symop_operation_xyz
'x,y,z'
loop_
_atom_site_label
_atom_site_type_symbol
_atom_site_fract_x
_atom_site_fract_y
_atom_site_fract_z
Rb1 Rb 0.0861 0.0861 0.3719
Rb2 Rb 0.2701 0.2701 0.8278
Rb3 Rb 0.7299 0.7299 0.1722
Rb4 Rb 0.9139 0.9139 0.6281
Na1 Na 0.4071 0.4071 0.2615
Na2 Na 0.5000 0.5000 0.0000
Na3 Na 0.5929 0.5929 0.7385
Tl1 Tl 0.0862 0.0862 0.9493
Tl2 Tl 0.9138 0.9138 0.0507


4.
# Rb2Na6Tl GGA-PBE relaxed
# Spin magnetization (μB per formula unit): 0.000
# VASP energy (eV for the cell shown): -11.82
# SG: P-31m (162)
# Formation enthalpy at 0 K (eV per atom): 0.04
# DOS at the Fermi energy (states/eV/f.u.): 5.5
# Energy above the lowest structure with this stoichiometry (meV/atom): 45
data_Rb2Na6Tl
_chemical_formula_sum 'Rb2 Na6 Tl1'
_space_group_name_H-M_alt 'P 1'
_space_group_IT_number 1
_cell_length_a 11.0189
_cell_length_b 11.0189
_cell_length_c 3.9577
_cell_angle_alpha 90.00
_cell_angle_beta 90.00
_cell_angle_gamma 120.00
loop_
_space_group_symop_operation_xyz
'x,y,z'
loop_
_atom_site_label
_atom_site_type_symbol
_atom_site_fract_x
_atom_site_fract_y
_atom_site_fract_z
Rb1 Rb 0.3333 0.6667 0.0000
Rb2 Rb 0.6667 0.3333 0.0000
Na1 Na 0.0000 0.2821 0.7527
Na2 Na 0.0000 0.7179 0.2473
Na3 Na 0.2821 0.0000 0.7527
Na4 Na 0.2821 0.2821 0.2473
Na5 Na 0.7179 0.0000 0.2473
Na6 Na 0.7179 0.7179 0.7527
Tl1 Tl 0.0000 0.0000 0.5000


5.
# Rb2Na3Tl5 GGA-PBE relaxed
# Spin magnetization (μB per formula unit): 0.000
# VASP energy (eV for the cell shown): -36.54
# SG: C2/c (15)
# Formation enthalpy at 0 K (eV per atom): -0.05
# DOS at the Fermi energy (states/eV/f.u.): 5.2
data_Rb2Na3Tl5
_chemical_formula_sum 'Rb4 Na6 Tl10'
_space_group_name_H-M_alt 'P 1'
_space_group_IT_number 1
_cell_length_a 10.3247
_cell_length_b 10.3247
_cell_length_c 6.9304
_cell_angle_alpha 98.77
_cell_angle_beta 98.77
_cell_angle_gamma 95.89
loop_
_space_group_symop_operation_xyz
'x,y,z'
loop_
_atom_site_label
_atom_site_type_symbol
_atom_site_fract_x
_atom_site_fract_y
_atom_site_fract_z
Rb1 Rb 0.1295 0.6535 0.9275
Rb2 Rb 0.3465 0.8705 0.5725
Rb3 Rb 0.6535 0.1295 0.4275
Rb4 Rb 0.8705 0.3465 0.0725
Na1 Na 0.0019 0.9981 0.7500
Na2 Na 0.2130 0.5024 0.4054
Na3 Na 0.4976 0.7870 0.0946
Na4 Na 0.5024 0.2130 0.9054
Na5 Na 0.7870 0.4976 0.5946
Na6 Na 0.9981 0.0019 0.2500
Tl1 Tl 0.0217 0.2918 0.5845
Tl2 Tl 0.2219 0.3046 0.9839
Tl3 Tl 0.2918 0.0217 0.0845
Tl4 Tl 0.3046 0.2219 0.4839
Tl5 Tl 0.4792 0.5208 0.7500
Tl6 Tl 0.5208 0.4792 0.2500
Tl7 Tl 0.6954 0.7781 0.5161
Tl8 Tl 0.7082 0.9783 0.9155
Tl9 Tl 0.7781 0.6954 0.0161
Tl10 Tl 0.9783 0.7082 0.4155


6.
# RbNa7Tl5 GGA-PBE relaxed
# Spin magnetization (μB per formula unit): 0.000
# VASP energy (eV for the cell shown): -23.21
# SG: Cm (8)
# Formation enthalpy at 0 K (eV per atom): -0.09
# DOS at the Fermi energy (states/eV/f.u.): 6.8
data_RbNa7Tl5
_chemical_formula_sum 'Rb1 Na7 Tl5'
_space_group_name_H-M_alt 'P 1'
_space_group_IT_number 1
_cell_length_a 8.6866
_cell_length_b 8.6866
_cell_length_c 6.6802
_cell_angle_alpha 112.61
_cell_angle_beta 112.61
_cell_angle_gamma 80.96
loop_
_space_group_symop_operation_xyz
'x,y,z'
loop_
_atom_site_label
_atom_site_type_symbol
_atom_site_fract_x
_atom_site_fract_y
_atom_site_fract_z
Rb1 Rb 0.0000 0.0000 0.0000
Na1 Na 0.2152 0.7885 0.5020
Na2 Na 0.2361 0.2361 0.7362
Na3 Na 0.3475 0.3475 0.3482
Na4 Na 0.3590 0.6688 0.0143
Na5 Na 0.6684 0.6684 0.6676
Na6 Na 0.6688 0.3590 0.0143
Na7 Na 0.7885 0.2152 0.5020
Tl1 Tl 0.0070 0.5074 0.0025
Tl2 Tl 0.0067 0.5086 0.5131
Tl3 Tl 0.5074 0.0070 0.0025
Tl4 Tl 0.5086 0.0067 0.5131
Tl5 Tl 0.7765 0.7765 0.2745


Q: VASP energy of number 5 (Rb2Na3Tl5)?
A: -36.54 eV for the cell shown


Q: Among the records above, which one has the highest formation enthalpy at 0 K?
A: Rb2Na6Tl